1.
# KLiGa2H8 (PBE, optimized geometry)
# Magnetic moment: 0.00 μB per formula unit
# E_tot: -3.14 eV per atom
data_KLiGa2H8
_chemical_formula_sum 'K3 Li3 Ga6 H24'
_cell_length_a 4.8257
_cell_length_b 4.8257
_cell_length_c 22.6717
_cell_angle_alpha 90.00
_cell_angle_beta 90.00
_cell_angle_gamma 120.00
_symmetry_space_group_name_H-M 'R -3'
_symmetry_Int_Tables_number 148
_symmetry_space_group_name_Hall '-R 3'
loop_
_atom_site_label
_atom_site_type_symbol
_atom_site_fract_x
_atom_site_fract_y
_atom_site_fract_z
K1 K 0.0000 0.0000 0.0000
Li1 Li 0.0000 0.0000 0.5000
Ga1 Ga 0.0000 0.0000 0.2399
H1 H 0.0000 0.0000 0.3111
H2 H 0.0098 0.6515 0.8866


2.
# KLiGaH6 (PBE, optimized geometry)
# Magnetic moment: 0.00 μB per formula unit
# E_tot: -2.83 eV per atom
data_KLiGaH6
_chemical_formula_sum 'K2 Li2 Ga2 H12'
_cell_length_a 4.150
_cell_length_b 9.238
_cell_length_c 5.583
_cell_angle_alpha 90.00
_cell_angle_beta 97.89
_cell_angle_gamma 90.00
_symmetry_space_group_name_H-M 'C 1 2 1'
_symmetry_Int_Tables_number 5
loop_
_symmetry_equiv_pos_as_xyz
'x,y,z'
'-x,y,-z'
'x+1/2,y+1/2,z'
'-x+1/2,y+1/2,-z'
loop_
_atom_site_label
_atom_site_type_symbol
_atom_site_fract_x
_atom_site_fract_y
_atom_site_fract_z
K1 K 0.000 0.000 0.000
Li1 Li 0.000 0.372 0.500
Ga1 Ga 0.000 0.663 0.500
H1 H 0.119 0.525 0.320
H2 H 0.169 0.217 0.315
H3 H 0.213 0.776 0.297


> Among the records above, which one has the highest E_tot?

KLiGaH6


> Number 2 is which compound?

KLiGaH6